Record 1
Computed, not measured: a geometry-optimized KTaBePt structure at the PBE level of DFT.

The energy above the most stable polymorph in this dataset comes out at 232 meV per atom. The volume is 18.50 Å³ per atom. For the total energy, the calculation gives -76.5 eV/cell.

The structure belongs to space group F-43m (No. 216); the cell edges are 6.6640, 6.6640 and 6.6640 Å and the angles 90.00°, 90.00° and 90.00°. The inequivalent atoms are K at (0.0000, 0.0000, 0.0000), Ta at (0.0000, 0.0000, 0.5000), Be at (0.2500, 0.2500, 0.7500) and Pt at (0.2500, 0.2500, 0.2500).

***

Record 2
Computed, not measured: a geometry-optimized KTaBePt structure at the PBE level of DFT.

The energy above the most stable polymorph in this dataset comes out at 558 meV per atom. The volume is 16.96 Å³ per atom. For the total energy, the calculation gives -71.3 eV/cell.

The structure belongs to space group F-43m (No. 216); the cell edges are 6.4744, 6.4744 and 6.4744 Å and the angles 90.00°, 90.00° and 90.00°. The inequivalent atoms are K at (0.0000, 0.0000, 0.0000), Ta at (0.2500, 0.2500, 0.2500), Be at (0.0000, 0.0000, 0.5000) and Pt at (0.2500, 0.2500, 0.7500).

***

Record 3
Computed, not measured: a geometry-optimized KTaBePt structure at the PBE level of DFT.

The energy above the most stable polymorph in this dataset comes out at 0 meV per atom. The volume is 16.64 Å³ per atom. For the total energy, the calculation gives -80.2 eV/cell.

The structure belongs to space group F-43m (No. 216); the cell edges are 6.4336, 6.4336 and 6.4336 Å and the angles 90.00°, 90.00° and 90.00°. The inequivalent atoms are K at (0.0000, 0.0000, 0.0000), Ta at (0.2500, 0.2500, 0.7500), Be at (0.2500, 0.2500, 0.2500) and Pt at (0.0000, 0.0000, 0.5000).

***

- Among the records above, which one has the highest total energy?
  number 2

***

- Number 2 is which compound?
  KTaBePt